[1]
First-principles (PBE) data for a relaxed structure of DyErTm, as listed in Alexandria.

a = 5.122 Å, b = 5.122 Å, c = 5.872 Å
α = 90.00°, β = 90.00°, γ = 120.00°
Fractional positions:
Dy 0.333 0.667 0.500
Tm 0.667 0.333 0.500
Er 0.667 0.333 0.000

Values from the calculation:
As for the total DFT energy (no corrections): -8.65 eV for the cell shown. The calculated volume is 133.4 Å³/cell. The energy relative to the lowest polymorph listed for this composition is 1639 meV/atom.

---

[2]
First-principles (PBE) data for a relaxed structure of Dy2Ni12GeH3, as listed in Alexandria.

a = 6.873 Å, b = 6.873 Å, c = 6.873 Å
α = 56.48°, β = 56.48°, γ = 56.48°
Fractional positions:
Ni 0.556 0.136 0.136
Ni 0.864 0.864 0.444
Ni 0.444 0.864 0.864
Ge 0.000 0.000 0.000
Ni 0.136 0.556 0.136
Ni 0.905 0.282 0.282
H 0.000 0.500 0.000
Ni 0.864 0.444 0.864
H 0.000 0.000 0.500
Ni 0.095 0.718 0.718
Dy 0.402 0.402 0.402
Ni 0.136 0.136 0.556
Dy 0.598 0.598 0.598
Ni 0.718 0.718 0.095
Ni 0.282 0.905 0.282
H 0.500 0.000 0.000
Ni 0.282 0.282 0.905
Ni 0.718 0.095 0.718

Values from the calculation:
As for the total DFT energy (no corrections): -95.49 eV for the cell shown. The calculated volume is 210.9 Å³/cell.

---

Q: Number 2 is which compound?
A: Dy2Ni12GeH3